# 1
First-principles (PBE-GGA) data for a relaxed structure of Li3Ac3Si8, as listed in the Alexandria database.

Summary:
* formation energy (no corrections): -302 meV/atom
* SG: Immm, No. 71
* spin magnetization: 0.00 μB per formula unit

Cell: 4.0696 8.7531 8.7531 Å, 74.97 76.56 76.56°
Positions (direct):
Si  0.1590  0.5125  0.1695
Ac  0.5000  0.5000  0.5000
Si  0.3627  0.9292  0.3454
Li  0.5000  0.0000  0.0000
Ac  0.2127  0.7873  0.7873
Si  0.1590  0.1695  0.5125
Ac  0.7873  0.2127  0.2127
Si  0.3627  0.3454  0.9292
Li  0.0000  0.8101  0.1899
Si  0.8410  0.4875  0.8305
Li  0.0000  0.1899  0.8101
Si  0.8410  0.8305  0.4875
Si  0.6373  0.0708  0.6546
Si  0.6373  0.6546  0.0708

---

# 2
First-principles (PBE-GGA) data for a relaxed structure of Ca6Sb2N, as listed in the Alexandria database.

Summary:
* formation energy (no corrections): -595 meV/atom
* SG: Amm2, No. 38
* spin magnetization: 1.07 μB per formula unit

Cell: 4.0667 8.9141 8.5135 Å, 121.57 90.00 90.00°
Site moments in Bohr magnetons follow the coordinates.
Positions (direct):
Ca  0.0000  0.9908  0.2057  0.04
N  0.5000  0.8506  0.0000  0.03
Sb  0.0000  0.6953  0.3533  0.01
Ca  0.5000  0.5977  0.0000  0.00
Ca  0.0000  0.7851  0.7943  0.04
Ca  0.0000  0.2739  0.0000  0.06
Sb  0.0000  0.3420  0.6467  0.01
Ca  0.5000  0.0227  0.5809  0.05
Ca  0.5000  0.4418  0.4191  0.05

---

Question: The lowest formation energy (no corrections) belongs to which entry?
Answer: Ca6Sb2N

---

Copy entry 1 word for word.
First-principles (PBE-GGA) data for a relaxed structure of Li3Ac3Si8, as listed in the Alexandria database.

Summary:
* formation energy (no corrections): -302 meV/atom
* SG: Immm, No. 71
* spin magnetization: 0.00 μB per formula unit

Cell: 4.0696 8.7531 8.7531 Å, 74.97 76.56 76.56°
Positions (direct):
Si  0.1590  0.5125  0.1695
Ac  0.5000  0.5000  0.5000
Si  0.3627  0.9292  0.3454
Li  0.5000  0.0000  0.0000
Ac  0.2127  0.7873  0.7873
Si  0.1590  0.1695  0.5125
Ac  0.7873  0.2127  0.2127
Si  0.3627  0.3454  0.9292
Li  0.0000  0.8101  0.1899
Si  0.8410  0.4875  0.8305
Li  0.0000  0.1899  0.8101
Si  0.8410  0.8305  0.4875
Si  0.6373  0.0708  0.6546
Si  0.6373  0.6546  0.0708